# 1
Density functional theory data (PBE) for a relaxed Nb4GaC crystal.

Summary:
DFT total energy	-105.84	eV for the cell shown

Cell: 5.8753 5.8032 5.8260 Å, 90.00 92.48 90.00°
Sites, in units of the cell vectors:
Nb  0.1034  0.1618  0.1713
Nb  0.1034  0.3382  0.6713
Nb  0.3263  0.6173  0.1037
Nb  0.3263  0.8827  0.6037
Nb  0.6737  0.1173  0.3963
Nb  0.6737  0.3827  0.8963
Nb  0.8966  0.6618  0.3287
Nb  0.8966  0.8382  0.8287
Ga  0.5000  0.0000  0.0000
Ga  0.5000  0.5000  0.5000
C  0.0000  0.0000  0.5000
C  0.0000  0.5000  0.0000

---

# 2
Density functional theory data (PBE) for a relaxed SiRu crystal.

Summary:
formation energy (no corrections)	-0.068	eV per atom
DFT total energy	-59.34	eV for the cell shown

Cell: 6.1011 6.1011 6.1011 Å, 95.78 95.78 143.01°
Sites, in units of the cell vectors:
Si  0.0879  0.1981  0.2860
Si  0.1981  0.9121  0.1102
Si  0.8019  0.0879  0.8898
Si  0.9121  0.8019  0.7140
Ru  0.1391  0.6352  0.7743
Ru  0.3648  0.1391  0.5039
Ru  0.6352  0.8609  0.4961
Ru  0.8609  0.3648  0.2257

---

# 3
Density functional theory data (PBE) for a relaxed K2TlGaHg6 crystal.

Summary:
DFT total energy	-10.46	eV for the cell shown

Cell: 7.0721 7.2869 7.7236 Å, 66.78 70.55 69.40°
Sites, in units of the cell vectors:
K  0.1858  0.3982  0.2222
K  0.8142  0.6018  0.7778
Tl  0.5000  0.5000  0.5000
Ga  0.0000  0.0000  0.0000
Hg  0.1368  0.8642  0.3481
Hg  0.2799  0.7777  0.7495
Hg  0.3788  0.1198  0.8397
Hg  0.6212  0.8802  0.1603
Hg  0.7201  0.2223  0.2505
Hg  0.8632  0.1358  0.6519

---

Question: The lowest DFT total energy belongs to which entry?
Answer: Nb4GaC